Material: Mn2H2Br
Method: DFT, PBE
State: relaxed

```
Mn2H2Br
1.0
-1.706 1.706 5.605
1.706 -1.706 5.605
1.706 1.706 -5.605
Mn H Br
2 2 1
Direct
0.182 0.182 0.000
0.818 0.818 0.000
0.250 0.750 0.500
0.750 0.250 0.500
0.500 0.500 0.000
```

Summary:
DFT total energy = -5.19 eV per atom
density of states at the Fermi level = 2.58 states/eV/cell
magnetization = 7.89 μB/f.u.
space group = I4/mmm (139)